i) The following is a PBE calculation of Pm6Sm3Er after structural relaxation, from Alexandria.

## Properties
- Crystal system: trigonal

a = 9.9840 Å, b = 9.9840 Å, c = 11.9402 Å
α = 90.00°, β = 90.00°, γ = 120.00°
Space group R-3 (No. 148, hexagonal axes)
Asymmetric unit:
Pm1 0.0019 0.3283 0.2506
Sm1 0.0000 0.0000 0.0000
Sm2 0.0000 0.0000 0.2496
Er1 0.0000 0.0000 0.5000



ii) The following is a PBE calculation of Pm6Sm3Er after structural relaxation, from Alexandria.

## Properties
- Crystal system: orthorhombic

a = 10.965 Å, b = 19.259 Å, c = 6.455 Å
α = 90.00°, β = 90.00°, γ = 90.00°
Space group Cmc2_1 (No. 36)
Asymmetric unit:
Pm1 0.000 0.035 0.000
Pm2 0.000 0.277 0.218
Pm3 0.170 0.457 0.313
Pm4 0.233 0.291 0.503
Sm1 0.000 0.385 0.789
Sm2 0.173 0.116 0.405
Er1 0.000 0.193 0.753



Quick one: least stable of them? i)



i) The following is a PBE calculation of Pm4SmEr7 after structural relaxation, from Alexandria.

## Properties
- Crystal system: triclinic

a = 6.556 Å, b = 6.822 Å, c = 9.036 Å
α = 84.61°, β = 77.05°, γ = 81.30°
Space group P-1 (No. 2)
Asymmetric unit:
Pm1 0.138 0.308 0.287
Pm2 0.334 0.885 0.691
Sm1 0.500 0.500 0.000
Er1 0.014 0.251 0.951
Er2 0.181 0.799 0.357
Er3 0.313 0.394 0.616
Er4 0.500 0.000 0.000



ii) The following is a PBE calculation of Pm4SmEr7 after structural relaxation, from Alexandria.

## Properties
- Crystal system: monoclinic

a = 12.100 Å, b = 5.874 Å, c = 12.733 Å
α = 90.00°, β = 118.01°, γ = 90.00°
Space group C2/m (No. 12)
Asymmetric unit:
Pm1 0.137 0.000 0.277
Pm2 0.229 0.500 0.170
Sm1 0.000 0.500 0.500
Er1 0.000 0.000 0.500
Er2 0.067 0.500 0.817
Er3 0.133 0.000 0.997
Er4 0.211 0.500 0.423



Quick one: least stable of them? ii)